# 1
## BaNaCd2Pd (meta-GGA SCAN)

Data for a crystal of BaNaCd2Pd relaxed with PBEsol.

Unit cell a=5.230 b=5.230 c=5.250 alpha=90.00 beta=90.00 gamma=90.00
Element x y z (fractional)
1 Ba 0.000 0.000 0.000
2 Na 0.500 0.500 0.000
3 Cd 0.000 0.500 0.500
4 Cd 0.500 0.000 0.500
5 Pd 0.500 0.500 0.500

## Properties
- formation energy (eV/atom) = -0.262
- E_tot (eV/cell) = -138.676



# 2
## BaNbCd3 (meta-GGA SCAN)

Data for a crystal of BaNbCd3 relaxed with PBEsol.

Unit cell a=5.367 b=5.367 c=5.367 alpha=90.00 beta=90.00 gamma=90.00
Element x y z (fractional)
1 Ba 0.000 0.000 0.000
2 Nb 0.500 0.500 0.500
3 Cd 0.000 0.500 0.500
4 Cd 0.500 0.000 0.500
5 Cd 0.500 0.500 0.000

## Properties
- formation energy (eV/atom) = 0.304
- E_tot (eV/cell) = -162.405



# 3
## BaScNbCd2 (meta-GGA SCAN)

Data for a crystal of BaScNbCd2 relaxed with PBEsol.

Unit cell a=5.380 b=5.380 c=5.376 alpha=90.00 beta=90.00 gamma=90.00
Element x y z (fractional)
1 Ba 0.000 0.000 0.000
2 Sc 0.500 0.500 0.000
3 Nb 0.000 0.000 0.500
4 Cd 0.000 0.500 0.500
5 Cd 0.500 0.000 0.500

## Properties
- formation energy (eV/atom) = 0.958
- E_tot (eV/cell) = -142.956



# 4
## Ba4Nd2Cd3Se10 (meta-GGA SCAN)

Data for a crystal of Ba4Nd2Cd3Se10 relaxed with PBEsol.

Unit cell a=9.600 b=9.600 c=27.445 alpha=90.00 beta=90.00 gamma=153.90
Element x y z (fractional)
1 Ba 0.075 0.925 0.500
2 Ba 0.093 0.907 0.681
3 Ba 0.333 0.667 0.450
4 Ba 0.334 0.666 0.736
5 Ba 0.666 0.334 0.236
6 Ba 0.667 0.333 0.950
7 Ba 0.907 0.093 0.181
8 Ba 0.925 0.075 0.000
9 Nd 0.003 0.997 0.841
10 Nd 0.415 0.585 0.596
11 Nd 0.585 0.415 0.096
12 Nd 0.997 0.003 0.341
13 Cd 0.285 0.715 0.074
14 Cd 0.344 0.656 0.303
15 Cd 0.352 0.648 0.888
16 Cd 0.648 0.352 0.388
17 Cd 0.656 0.344 0.803
18 Cd 0.715 0.285 0.574
19 Se 0.081 0.919 0.167
20 Se 0.095 0.905 0.023
21 Se 0.157 0.843 0.333
22 Se 0.159 0.841 0.860
23 Se 0.259 0.741 0.614
24 Se 0.290 0.710 0.218
25 Se 0.293 0.707 0.974
26 Se 0.429 0.571 0.090
27 Se 0.486 0.514 0.270
28 Se 0.492 0.508 0.916
29 Se 0.508 0.492 0.416
30 Se 0.514 0.486 0.770
31 Se 0.571 0.429 0.590
32 Se 0.707 0.293 0.474
33 Se 0.710 0.290 0.718
34 Se 0.741 0.259 0.114
35 Se 0.841 0.159 0.360
36 Se 0.843 0.157 0.833
37 Se 0.905 0.095 0.523
38 Se 0.919 0.081 0.667

## Properties
- formation energy from raw total energies (meV per atom) = -1774
- E_tot (eV/cell) = -1142.216



# 5
## Ba2CdNi (meta-GGA SCAN)

Data for a crystal of Ba2CdNi relaxed with PBEsol.

Unit cell a=3.708 b=3.708 c=9.204 alpha=90.00 beta=90.00 gamma=90.00
Element x y z (fractional)
1 Ba 0.000 0.000 0.000
2 Ba 0.500 0.500 0.420
3 Cd 0.000 0.000 0.662
4 Ni 0.500 0.500 0.759

## Properties
- formation energy (eV/atom) = 0.138
- E_tot (eV/cell) = -125.136



# 6
## Ba2CdNi (meta-GGA SCAN)

Data for a crystal of Ba2CdNi relaxed with PBEsol.

Unit cell a=4.658 b=4.657 c=6.602 alpha=90.00 beta=110.69 gamma=90.00
Element x y z (fractional)
1 Ba 0.000 0.000 0.000
2 Ba 0.280 0.500 0.559
3 Cd 0.583 0.500 0.165
4 Ni 0.681 0.000 0.365

## Properties
- formation energy (eV/atom) = -0.035
- E_tot (eV/cell) = -125.830



# 7
## BaCdNi3 (meta-GGA SCAN)

Data for a crystal of BaCdNi3 relaxed with PBEsol.

Unit cell a=4.831 b=4.831 c=4.831 alpha=90.00 beta=90.00 gamma=90.00
Element x y z (fractional)
1 Ba 0.000 0.000 0.000
2 Cd 0.500 0.500 0.500
3 Ni 0.000 0.000 0.500
4 Ni 0.000 0.500 0.000
5 Ni 0.500 0.000 0.000

## Properties
- formation energy (eV/atom) = 1.817
- E_tot (eV/cell) = -109.399



# 8
## BaCd2Ni (meta-GGA SCAN)

Data for a crystal of BaCd2Ni relaxed with PBEsol.

Unit cell a=5.176 b=5.176 c=5.176 alpha=60.00 beta=60.00 gamma=60.00
Element x y z (fractional)
1 Ba 0.000 0.000 0.000
2 Cd 0.250 0.250 0.250
3 Cd 0.750 0.750 0.750
4 Ni 0.500 0.500 0.500

## Properties
- formation energy (eV/atom) = 0.296
- E_tot (eV/cell) = -115.368



# 9
## BaCd3Ni (meta-GGA SCAN)

Data for a crystal of BaCd3Ni relaxed with PBEsol.

Unit cell a=5.015 b=5.015 c=5.015 alpha=90.00 beta=90.00 gamma=90.00
Element x y z (fractional)
1 Ba 0.000 0.000 0.000
2 Cd 0.000 0.500 0.500
3 Cd 0.500 0.000 0.500
4 Cd 0.500 0.500 0.000
5 Ni 0.500 0.500 0.500

## Properties
- formation energy (eV/atom) = -0.193
- E_tot (eV/cell) = -147.933



# 10
## Ba2CdNi2 (meta-GGA SCAN)

Data for a crystal of Ba2CdNi2 relaxed with PBEsol.

Unit cell a=10.518 b=10.518 c=10.518 alpha=160.77 beta=160.77 gamma=27.33
Element x y z (fractional)
1 Ba 0.129 0.129 0.000
2 Ba 0.871 0.871 0.000
3 Cd 0.500 0.500 0.000
4 Ni 0.250 0.750 0.500
5 Ni 0.750 0.250 0.500

## Properties
- formation energy (eV/atom) = 0.230
- E_tot (eV/cell) = -140.713



# 11
## Ba2CdSiNi (meta-GGA SCAN)

Data for a crystal of Ba2CdSiNi relaxed with PBEsol.

Unit cell a=6.221 b=6.221 c=4.619 alpha=90.00 beta=90.00 gamma=90.00
Element x y z (fractional)
1 Ba 0.000 0.500 0.000
2 Ba 0.500 0.000 0.000
3 Cd 0.000 0.000 0.000
4 Si 0.500 0.500 0.500
5 Ni 0.000 0.000 0.500

## Properties
- formation energy from raw total energies (meV per atom) = 497
- E_tot (eV/cell) = -133.219



# 12
## BaCdP4O12 (meta-GGA SCAN)

Data for a crystal of BaCdP4O12 relaxed with PBEsol.

Unit cell a=7.250 b=9.277 c=16.593 alpha=90.00 beta=115.30 gamma=90.00
Element x y z (fractional)
1 Ba 0.148 0.109 0.132
2 Ba 0.148 0.391 0.632
3 Ba 0.852 0.609 0.368
4 Ba 0.852 0.891 0.868
5 Cd 0.347 0.730 0.842
6 Cd 0.347 0.770 0.342
7 Cd 0.653 0.230 0.658
8 Cd 0.653 0.270 0.158
9 P 0.082 0.101 0.322
10 P 0.082 0.399 0.822
11 P 0.278 0.749 0.540
12 P 0.278 0.751 0.040
13 P 0.311 0.165 0.942
14 P 0.311 0.335 0.442
15 P 0.311 0.520 0.174
16 P 0.311 0.980 0.674
17 P 0.689 0.020 0.326
18 P 0.689 0.480 0.826
19 P 0.689 0.665 0.558
20 P 0.689 0.835 0.058
21 P 0.722 0.249 0.960
22 P 0.722 0.251 0.460
23 P 0.918 0.601 0.178
24 P 0.918 0.899 0.678
25 O 0.022 0.707 0.252
26 O 0.022 0.793 0.752
27 O 0.076 0.507 0.157
28 O 0.076 0.993 0.657
29 O 0.140 0.652 0.561
30 O 0.140 0.848 0.061
31 O 0.184 0.045 0.887
32 O 0.184 0.455 0.387
33 O 0.198 0.181 0.416
34 O 0.198 0.319 0.916
35 O 0.213 0.721 0.942
36 O 0.213 0.779 0.442
37 O 0.228 0.002 0.306
38 O 0.228 0.498 0.806
39 O 0.298 0.595 0.085
40 O 0.298 0.905 0.585
41 O 0.376 0.133 0.671
42 O 0.376 0.367 0.171
43 O 0.391 0.157 0.042
44 O 0.391 0.343 0.542
45 O 0.429 0.609 0.255
46 O 0.429 0.891 0.755
47 O 0.495 0.188 0.913
48 O 0.495 0.312 0.413
49 O 0.505 0.688 0.587
50 O 0.505 0.812 0.087
51 O 0.571 0.109 0.245
52 O 0.571 0.391 0.745
53 O 0.609 0.657 0.458
54 O 0.609 0.843 0.958
55 O 0.624 0.633 0.829
56 O 0.624 0.867 0.329
57 O 0.702 0.095 0.415
58 O 0.702 0.405 0.915
59 O 0.772 0.502 0.194
60 O 0.772 0.998 0.694
61 O 0.787 0.221 0.558
62 O 0.787 0.279 0.058
63 O 0.802 0.681 0.084
64 O 0.802 0.819 0.584
65 O 0.816 0.545 0.613
66 O 0.816 0.955 0.113
67 O 0.860 0.152 0.939
68 O 0.860 0.348 0.439
69 O 0.924 0.007 0.343
70 O 0.924 0.493 0.843
71 O 0.978 0.207 0.248
72 O 0.978 0.293 0.748

## Properties
- formation energy from raw total energies (meV per atom) = -2514
- E_tot (eV/cell) = -926.357



# 13
## BaCdP2O7 (meta-GGA SCAN)

Data for a crystal of BaCdP2O7 relaxed with PBEsol.

Unit cell a=5.656 b=7.046 c=7.650 alpha=78.59 beta=89.58 gamma=86.56
Element x y z (fractional)
1 Ba 0.236 0.236 0.438
2 Ba 0.764 0.764 0.562
3 Cd 0.212 0.349 0.901
4 Cd 0.788 0.651 0.099
5 P 0.281 0.732 0.299
6 P 0.281 0.835 0.904
7 P 0.719 0.165 0.096
8 P 0.719 0.268 0.701
9 O 0.064 0.608 0.315
10 O 0.089 0.688 0.891
11 O 0.230 0.033 0.789
12 O 0.268 0.875 0.106
13 O 0.274 0.860 0.438
14 O 0.473 0.259 0.121
15 O 0.490 0.399 0.690
16 O 0.510 0.601 0.310
17 O 0.527 0.741 0.879
18 O 0.726 0.140 0.562
19 O 0.732 0.125 0.894
20 O 0.770 0.967 0.211
21 O 0.911 0.312 0.109
22 O 0.936 0.392 0.685

## Properties
- formation energy from raw total energies (meV per atom) = -2629
- E_tot (eV/cell) = -326.603



# 14
## Ba2CdReO6 (meta-GGA SCAN)

Data for a crystal of Ba2CdReO6 relaxed with PBEsol.

Unit cell a=5.892 b=5.892 c=5.892 alpha=60.00 beta=60.00 gamma=60.00
Element x y z (fractional)
1 Ba 0.250 0.250 0.250
2 Ba 0.750 0.750 0.750
3 Cd 0.000 0.000 0.000
4 Re 0.500 0.500 0.500
5 O 0.269 0.269 0.731
6 O 0.269 0.731 0.269
7 O 0.269 0.731 0.731
8 O 0.731 0.269 0.269
9 O 0.731 0.269 0.731
10 O 0.731 0.731 0.269

## Properties
- formation energy from raw total energies (meV per atom) = -2266
- E_tot (eV/cell) = -240.660



# 15
## Ba2UCdO6 (meta-GGA SCAN)

Data for a crystal of Ba2UCdO6 relaxed with PBEsol.

Unit cell a=6.098 b=6.098 c=6.098 alpha=60.00 beta=60.00 gamma=60.00
Element x y z (fractional)
1 Ba 0.250 0.250 0.250
2 Ba 0.750 0.750 0.750
3 U 0.000 0.000 0.000
4 Cd 0.500 0.500 0.500
5 O 0.239 0.239 0.761
6 O 0.239 0.761 0.239
7 O 0.239 0.761 0.761
8 O 0.761 0.239 0.239
9 O 0.761 0.239 0.761
10 O 0.761 0.761 0.239

## Properties
- formation energy from raw total energies (meV per atom) = -2951
- E_tot (eV/cell) = -279.938



# 16
## Ba2ZrCdO (meta-GGA SCAN)

Data for a crystal of Ba2ZrCdO relaxed with PBEsol.

Unit cell a=6.363 b=6.363 c=5.234 alpha=90.00 beta=90.00 gamma=90.00
Element x y z (fractional)
1 Ba 0.000 0.500 0.000
2 Ba 0.500 0.000 0.000
3 Zr 0.000 0.000 0.500
4 Cd 0.000 0.000 0.000
5 O 0.500 0.500 0.500

## Properties
- formation energy from raw total energies (meV per atom) = 597
- E_tot (eV/cell) = -143.458



# 17
## BaCd2Os (meta-GGA SCAN)

Data for a crystal of BaCd2Os relaxed with PBEsol.

Unit cell a=4.384 b=4.384 c=4.787 alpha=90.00 beta=90.00 gamma=90.00
Element x y z (fractional)
1 Ba 0.000 0.000 0.000
2 Cd 0.000 0.500 0.500
3 Cd 0.500 0.000 0.500
4 Os 0.500 0.500 0.000

## Properties
- formation energy (eV/atom) = 0.819
- E_tot (eV/cell) = -168.982



# 18
## BaCd2Os (meta-GGA SCAN)

Data for a crystal of BaCd2Os relaxed with PBEsol.

Unit cell a=7.731 b=7.731 c=7.731 alpha=156.55 beta=145.96 gamma=41.75
Element x y z (fractional)
1 Ba 0.000 0.000 0.000
2 Cd 0.306 0.806 0.500
3 Cd 0.656 0.656 0.000
4 Os 0.813 0.313 0.500

## Properties
- formation energy (eV/atom) = 0.416
- E_tot (eV/cell) = -170.593



# 19
## BaCd2Os (meta-GGA SCAN)

Data for a crystal of BaCd2Os relaxed with PBEsol.

Unit cell a=6.361 b=6.361 c=6.361 alpha=150.47 beta=129.97 gamma=59.17
Element x y z (fractional)
1 Ba 0.000 0.000 0.000
2 Cd 0.298 0.798 0.500
3 Cd 0.702 0.202 0.500
4 Os 0.500 0.500 0.000

## Properties
- formation energy (eV/atom) = 0.519
- E_tot (eV/cell) = -170.182



# 20
## BaCd2Os (meta-GGA SCAN)

Data for a crystal of BaCd2Os relaxed with PBEsol.

Unit cell a=4.714 b=4.714 c=6.222 alpha=112.29 beta=112.29 gamma=59.95
Element x y z (fractional)
1 Ba 0.000 0.000 0.000
2 Cd 0.525 0.525 0.572
3 Cd 0.805 0.805 0.414
4 Os 0.188 0.188 0.561

## Properties
- formation energy (eV/atom) = 0.334
- E_tot (eV/cell) = -170.922



# 21
## BaCd2Os (meta-GGA SCAN)

Data for a crystal of BaCd2Os relaxed with PBEsol.

Unit cell a=5.072 b=5.072 c=5.072 alpha=60.00 beta=60.00 gamma=60.00
Element x y z (fractional)
1 Ba 0.000 0.000 0.000
2 Cd 0.250 0.250 0.250
3 Cd 0.500 0.500 0.500
4 Os 0.750 0.750 0.750

## Properties
- formation energy (eV/atom) = 0.757
- E_tot (eV/cell) = -169.230



# 22
## BaCdOs2 (meta-GGA SCAN)

Data for a crystal of BaCdOs2 relaxed with PBEsol.

Unit cell a=5.641 b=5.641 c=2.747 alpha=90.00 beta=90.00 gamma=113.29
Element x y z (fractional)
1 Ba 0.000 0.000 0.000
2 Cd 0.500 0.500 0.000
3 Os 0.000 0.500 0.500
4 Os 0.500 0.000 0.500

## Properties
- formation energy (eV/atom) = 1.461
- E_tot (eV/cell) = -207.881